Entry 1:
A plane-wave DFT calculation with meta-GGA SCAN was carried out for a PBEsol-optimized structure of Si2TcPt.

POSCAR file:
```
Si2TcPt
1.0
-1.568 1.751 5.182
1.568 -1.751 5.182
1.568 1.751 -5.182
Si Tc Pt
2 1 1
Direct
0.000 0.000 0.000
0.753 0.253 0.500
0.176 0.676 0.500
0.426 0.426 0.000
```

Calculated values
Formation energy (no corrections) (eV/atom): -0.4871
Space group: Imm2 (44)
Total magnetization (μB/cell): 0.0



Entry 2:
A plane-wave DFT calculation with meta-GGA SCAN was carried out for a PBEsol-optimized structure of SiTcPt.

POSCAR file:
```
SiTcPt
1.0
4.168 0.000 0.000
-2.084 3.609 0.000
0.000 0.000 2.775
Si Tc Pt
1 1 1
Direct
0.000 0.000 0.000
0.333 0.667 0.497
0.667 0.333 0.997
```

Calculated values
Formation energy (no corrections) (eV/atom): -0.2833
Space group: P3m1 (156)
Total magnetization (μB/cell): 1.7



Entry 3:
A plane-wave DFT calculation with meta-GGA SCAN was carried out for a PBEsol-optimized structure of SiTc2Pt.

POSCAR file:
```
SiTc2Pt
1.0
2.850 0.000 0.000
0.000 2.850 0.000
0.000 0.000 6.679
Si Tc Pt
1 2 1
Direct
0.000 0.000 0.000
0.500 0.500 0.217
0.500 0.500 0.783
0.000 0.000 0.500
```

Calculated values
Formation energy (no corrections) (eV/atom): -0.3135
Space group: P4/mmm (123)
Total magnetization (μB/cell): 0.0



Entry 4:
A plane-wave DFT calculation with meta-GGA SCAN was carried out for a PBEsol-optimized structure of Si2TcPt.

POSCAR file:
```
Si2TcPt
1.0
3.944 -1.444 0.000
3.944 1.444 0.000
-1.058 0.000 4.790
Si Tc Pt
2 1 1
Direct
0.246 0.246 0.230
0.754 0.754 0.770
0.500 0.500 0.000
0.000 0.000 0.500
```

Calculated values
Formation energy (no corrections) (eV/atom): -0.3900
Space group: C2/m (12)
Total magnetization (μB/cell): 0.0



Entry 5:
A plane-wave DFT calculation with meta-GGA SCAN was carried out for a PBEsol-optimized structure of Si2TcPt.

POSCAR file:
```
Si2TcPt
1.0
0.000 3.046 3.046
3.046 0.000 3.046
3.046 3.046 0.000
Si Tc Pt
2 1 1
Direct
0.000 0.000 0.000
0.250 0.250 0.250
0.750 0.750 0.750
0.500 0.500 0.500
```

Calculated values
Formation energy (no corrections) (eV/atom): 0.2064
Space group: F-43m (216)
Total magnetization (μB/cell): 1.0



Entry 6:
A plane-wave DFT calculation with meta-GGA SCAN was carried out for a PBEsol-optimized structure of Si2TePt.

POSCAR file:
```
Si2TePt
1.0
0.000 3.274 3.274
3.274 0.000 3.274
3.274 3.274 0.000
Si Te Pt
2 1 1
Direct
0.250 0.250 0.250
0.750 0.750 0.750
0.000 0.000 0.000
0.500 0.500 0.500
```

Calculated values
Formation energy (no corrections) (eV/atom): 0.5640
Space group: Fm-3m (225)
Total magnetization (μB/cell): 0.0



Entry 7:
A plane-wave DFT calculation with meta-GGA SCAN was carried out for a PBEsol-optimized structure of SiTe2Pt.

POSCAR file:
```
SiTe2Pt
1.0
1.980 1.143 6.333
-1.980 1.143 6.333
0.000 -2.286 6.333
Si Te Pt
1 2 1
Direct
0.000 0.000 0.000
0.247 0.247 0.247
0.753 0.753 0.753
0.500 0.500 0.500
```

Calculated values
E above lowest polymorph (kJ per mole of atoms): 0.0
Formation energy (no corrections) (eV/atom): -0.0491
Space group: R-3m (166)
Total magnetization (μB/cell): 0.0



Entry 8:
A plane-wave DFT calculation with meta-GGA SCAN was carried out for a PBEsol-optimized structure of SiTe2Pt.

POSCAR file:
```
SiTe2Pt
1.0
3.372 0.000 0.000
0.000 3.372 0.000
0.000 0.000 7.147
Si Te Pt
1 2 1
Direct
0.000 0.000 0.000
0.500 0.500 0.260
0.500 0.500 0.740
0.000 0.000 0.500
```

Calculated values
E above lowest polymorph (kJ per mole of atoms): 51.8
Formation energy (no corrections) (eV/atom): 0.4879
Space group: P4/mmm (123)
Total magnetization (μB/cell): 0.0



Result set for energy: -127.2; -116.1; -151.6; -126.8; -124.5; -125.2; -154.9; -152.8 eV/cell, one per record in the order listed.